Entry 1:
The following is a PBE calculation of an optimized crystal structure of Th2Ni12SbP3, from Alexandria.

Computed properties:
For the theoretical density, the calculation gives 7.96 g/cm³. As for the calculated total energy: -320.965 eV per cell. The calculation puts the uncorrected formation energy at -3.10 kcal/mol of atoms.

a b c (Å): 7.4839 7.4839 17.8400
angles (deg): 90.00 90.00 120.00
Space group R-3m (No. 166, hexagonal axes)
Inequivalent atoms, fractional coordinates:
Th 0.0000 0.0000 0.1091 [6 per cell]
Ni 0.0238 0.5119 0.8784 [18 per cell]
Ni 0.0279 0.5139 0.3610 [18 per cell]
Sb 0.0000 0.0000 0.5000 [3 per cell]
P 0.0000 0.5000 0.0000 [9 per cell]

---

Entry 2:
The following is a PBE calculation of an optimized crystal structure of Cs2YCCl6, from Alexandria.

Computed properties:
For the theoretical density, the calculation gives 3.08 g/cm³. As for the calculated total energy: -80.719 eV per cell. The calculation puts the uncorrected formation energy at -27.41 kcal/mol of atoms.

a b c (Å): 7.1372 7.1372 12.2742
angles (deg): 90.00 90.00 90.00
Space group I4/mmm (No. 139)
Inequivalent atoms, fractional coordinates:
Cs 0.0000 0.5000 0.2500 [4 per cell]
Y 0.0000 0.0000 0.0000 [2 per cell]
C 0.0000 0.0000 0.5000 [2 per cell]
Cl 0.0000 0.0000 0.2139 [4 per cell]
Cl 0.2361 0.2361 0.5000 [8 per cell]

---

Entry 3:
The following is a PBE calculation of an optimized crystal structure of Nb6CrN, from Alexandria.

Computed properties:
For the theoretical density, the calculation gives 8.02 g/cm³. As for the calculated total energy: -80.200 eV per cell. The calculation puts the uncorrected formation energy at -5.28 kcal/mol of atoms.

a b c (Å): 4.8010 5.3535 5.4696
angles (deg): 96.14 112.17 91.37
Space group P-1 (No. 2)
Inequivalent atoms, fractional coordinates:
Nb 0.0604 0.2816 0.1452 [2 per cell]
Nb 0.2075 0.8485 0.4448 [2 per cell]
Nb 0.4119 0.3969 0.7483 [2 per cell]
Cr 0.5000 0.0000 0.0000 [1 per cell]
N 0.0000 0.5000 0.5000 [1 per cell]

---

Entry 4:
The following is a PBE calculation of an optimized crystal structure of Nd12ErMg3, from Alexandria.

Computed properties:
For the theoretical density, the calculation gives 6.28 g/cm³. As for the calculated total energy: -66.568 eV per cell. The formation energy comes out at 0 meV/atom.

a b c (Å): 5.0554 5.0554 20.3950
angles (deg): 90.00 90.00 90.00
Space group P4/mmm (No. 123)
Inequivalent atoms, fractional coordinates:
Nd 0.0000 0.0000 0.0000 [1 per cell]
Nd 0.0000 0.0000 0.2476 [2 per cell]
Nd 0.0000 0.0000 0.5000 [1 per cell]
Nd 0.0000 0.5000 0.1238 [4 per cell]
Nd 0.0000 0.5000 0.3725 [4 per cell]
Er 0.5000 0.5000 0.5000 [1 per cell]
Mg 0.5000 0.5000 0.0000 [1 per cell]
Mg 0.5000 0.5000 0.2465 [2 per cell]

---

Entry 5:
The following is a PBE calculation of an optimized crystal structure of ZnPCl, from Alexandria.

Computed properties:
For the theoretical density, the calculation gives 3.38 g/cm³. The calculation puts the relative energy among the computed polymorphs at 608.0 meV per atom. As for the calculated total energy: -8.055 eV per cell. The calculation puts the uncorrected formation energy at 3.65 kcal/mol of atoms.

a b c (Å): 4.0204 4.0204 4.6238
angles (deg): 90.00 90.00 120.00
Space group P3m1 (No. 156)
Inequivalent atoms, fractional coordinates:
Zn 0.0000 0.0000 0.0000 [1 per cell]
P 0.3333 0.6667 0.9989 [1 per cell]
Cl 0.6667 0.3333 0.4986 [1 per cell]

---

Entry 6:
The following is a PBE calculation of an optimized crystal structure of BaHoCd2, from Alexandria.

Computed properties:
For the theoretical density, the calculation gives 7.01 g/cm³. The calculation puts the relative energy among the computed polymorphs at 91.4 meV per atom. As for the calculated total energy: -9.109 eV per cell. The formation energy comes out at -195 meV/atom.

a b c (Å): 5.6743 5.6743 3.8767
angles (deg): 90.00 90.00 90.00
Space group P4/mmm (No. 123)
Inequivalent atoms, fractional coordinates:
Ba 0.0000 0.0000 0.0000 [1 per cell]
Ho 0.5000 0.5000 0.0000 [1 per cell]
Cd 0.0000 0.5000 0.5000 [2 per cell]

---

Entry 7:
The following is a PBE calculation of an optimized crystal structure of CoPbAu2, from Alexandria.

Computed properties:
For the theoretical density, the calculation gives 14.25 g/cm³. As for the calculated total energy: -32.028 eV per cell. The formation energy comes out at 339 meV/atom.

a b c (Å): 5.5765 7.4394 3.7078
angles (deg): 90.00 90.21 90.00
Space group C2/m (No. 12)
Inequivalent atoms, fractional coordinates:
Co 0.0000 0.0000 0.0000 [2 per cell]
Pb 0.0000 0.5000 0.0000 [2 per cell]
Au 0.2500 0.2500 0.5000 [4 per cell]

---

Entry 8:
The following is a PBE calculation of an optimized crystal structure of Tb3TmRu3, from Alexandria.

Computed properties:
For the theoretical density, the calculation gives 10.07 g/cm³. The calculation puts the relative energy among the computed polymorphs at 22.9 meV per atom. As for the calculated total energy: -194.274 eV per cell. The formation energy comes out at -340 meV/atom.

a b c (Å): 9.5680 9.7153 6.7356
angles (deg): 90.00 90.00 90.00
Space group Cmmm (No. 65)
Inequivalent atoms, fractional coordinates:
Tb 0.0000 0.2470 0.0000 [4 per cell]
Tb 0.2461 0.0000 0.0000 [4 per cell]
Tb 0.2462 0.5000 0.5000 [4 per cell]
Tm 0.0000 0.2374 0.5000 [4 per cell]
Ru 0.0000 0.0000 0.2514 [4 per cell]
Ru 0.2500 0.2500 0.2520 [8 per cell]

---

Entry 9:
The following is a PBE calculation of an optimized crystal structure of CuRe2Ge2, from Alexandria.

Computed properties:
For the theoretical density, the calculation gives 11.32 g/cm³. The calculation puts the relative energy among the computed polymorphs at 266.7 meV per atom. As for the calculated total energy: -70.670 eV per cell. The formation energy comes out at 578 meV/atom.

a b c (Å): 3.9623 3.9623 10.8569
angles (deg): 90.00 90.00 90.00
Space group I4/mmm (No. 139)
Inequivalent atoms, fractional coordinates:
Cu 0.0000 0.0000 0.0000 [2 per cell]
Re 0.0000 0.5000 0.2500 [4 per cell]
Ge 0.0000 0.0000 0.3926 [4 per cell]

---

Entry 10:
The following is a PBE calculation of an optimized crystal structure of Pm6Pr2Tm3, from Alexandria.

Computed properties:
For the theoretical density, the calculation gives 7.06 g/cm³. The calculation puts the relative energy among the computed polymorphs at 116.8 meV per atom. As for the calculated total energy: -96.723 eV per cell. The formation energy comes out at 283 meV/atom.

a b c (Å): 4.7917 4.7917 34.0009
angles (deg): 90.00 90.00 90.00
Space group I4/mmm (No. 139)
Inequivalent atoms, fractional coordinates:
Pm 0.0000 0.0000 0.2002 [4 per cell]
Pm 0.0000 0.5000 0.1228 [8 per cell]
Pr 0.0000 0.0000 0.0457 [4 per cell]
Tm 0.0000 0.0000 0.3012 [4 per cell]
Tm 0.0000 0.0000 0.5000 [2 per cell]

---

Entry 11:
The following is a PBE calculation of an optimized crystal structure of Tb2Pm5Pr5, from Alexandria.

Computed properties:
For the theoretical density, the calculation gives 6.95 g/cm³. The calculation puts the relative energy among the computed polymorphs at 0.0 meV per atom. As for the calculated total energy: -113.462 eV per cell. The formation energy comes out at 15 meV/atom.

a b c (Å): 15.5460 5.1761 11.5939
angles (deg): 90.00 116.52 90.00
Space group C2/m (No. 12)
Inequivalent atoms, fractional coordinates:
Tb 0.0835 0.0000 0.2513 [4 per cell]
Pm 0.0000 0.5000 0.0000 [2 per cell]
Pm 0.0817 0.5000 0.7491 [4 per cell]
Pm 0.1672 0.5000 0.5002 [4 per cell]
Pr 0.0000 0.0000 0.5000 [2 per cell]
Pr 0.1650 0.0000 0.9992 [4 per cell]
Pr 0.2488 0.5000 0.2501 [4 per cell]

---

Entry 12:
The following is a PBE calculation of an optimized crystal structure of Cd5Sn12Au3, from Alexandria.

Computed properties:
For the theoretical density, the calculation gives 7.15 g/cm³. As for the calculated total energy: -485.309 eV per cell. The formation energy comes out at 89 meV/atom.

a b c (Å): 16.8531 16.8531 16.8531
angles (deg): 90.00 90.00 90.00
Space group Ia-3d (No. 230)
Inequivalent atoms, fractional coordinates:
Cd 0.0000 0.0000 0.0000 [16 per cell]
Cd 0.0000 0.2500 0.3750 [24 per cell]
Sn 0.0185 0.0884 0.6505 [96 per cell]
Au 0.0000 0.2500 0.1250 [24 per cell]